AcPm2Dy2Y2 after structural relaxation, computed with PBE-GGA.

```
data_AcPm2Dy2Y2
_cell_length_a 5.1654
_cell_length_b 6.2925
_cell_length_c 8.1840
_cell_angle_alpha 97.33
_cell_angle_beta 90.00
_cell_angle_gamma 114.23
_space_group_name_H-M_alt 'P 1'
_space_group_IT_number 1
loop_
_space_group_symop_operation_xyz
'x,y,z'
loop_
_atom_site_label
_atom_site_type_symbol
_atom_site_fract_x
_atom_site_fract_y
_atom_site_fract_z
Dy1 Dy 0.8573 0.7147 0.5663
Ac1 Ac 0.0000 0.0000 0.0000
Y1 Y 0.7144 0.4288 0.1507
Pm1 Pm 0.4261 0.8523 0.2916
Dy2 Dy 0.1427 0.2853 0.4337
Pm2 Pm 0.5739 0.1477 0.7084
Y2 Y 0.2856 0.5712 0.8493
```

Output
The space group is C2/m (12).



Sc4AlZn2Pd after structural relaxation, computed with PBE-GGA.

```
data_Sc4AlZn2Pd
_cell_length_a 4.7362
_cell_length_b 4.7362
_cell_length_c 8.2049
_cell_angle_alpha 73.22
_cell_angle_beta 73.22
_cell_angle_gamma 60.00
_space_group_name_H-M_alt 'P 1'
_space_group_IT_number 1
loop_
_space_group_symop_operation_xyz
'x,y,z'
loop_
_atom_site_label
_atom_site_type_symbol
_atom_site_fract_x
_atom_site_fract_y
_atom_site_fract_z
Sc1 Sc 0.6224 0.6224 0.1329
Pd1 Pd 0.5000 0.5000 0.5000
Al1 Al 0.0000 0.0000 0.0000
Zn1 Zn 0.7465 0.7465 0.7605
Sc2 Sc 0.1273 0.1273 0.6182
Sc3 Sc 0.3776 0.3776 0.8671
Zn2 Zn 0.2535 0.2535 0.2395
Sc4 Sc 0.8727 0.8727 0.3818
```

Output
The space group is R-3m (166).



LiGaAg after structural relaxation, computed with PBE-GGA.

```
data_LiGaAg
_cell_length_a 3.0316
_cell_length_b 5.5269
_cell_length_c 7.2437
_cell_angle_alpha 97.31
_cell_angle_beta 78.69
_cell_angle_gamma 123.06
_space_group_name_H-M_alt 'P 1'
_space_group_IT_number 1
loop_
_space_group_symop_operation_xyz
'x,y,z'
loop_
_atom_site_label
_atom_site_type_symbol
_atom_site_fract_x
_atom_site_fract_y
_atom_site_fract_z
Li1 Li 0.6556 0.7546 0.7012
Ga1 Ga 0.9810 0.7498 0.0410
Ga2 Ga 0.0190 0.2502 0.9590
Li2 Li 0.3444 0.2454 0.2988
Ag1 Ag 0.3130 0.7449 0.3702
Ag2 Ag 0.6870 0.2551 0.6298
```

Output
The space group is P-1 (2).



| no. | calculated total energy (eV/atom) | spin magnetization (μB per atom) |
| --- | --- | --- |
| 1 | -5.07 | 0.00 |
| 2 | -5.13 | 0.00 |
| 3 | -2.79 | 0.00 |